[1]
VASP calculation (PBE) on a relaxed RbMnCl2 crystal.

Lattice parameters (Å, degrees): 5.4032 5.4032 5.4032 60.00 60.00 60.00
With the nearest neighbours (Å) after each atom.
Atoms (fractional coordinates):
Mn (0.0000, 0.0000, 0.0000)  8 Cl 3.31
Cl (0.7500, 0.7500, 0.7500)  4 Mn 3.31, 4 Rb 3.31
Cl (0.2500, 0.2500, 0.2500)  4 Mn 3.31, 4 Rb 3.31
Rb (0.5000, 0.5000, 0.5000)  8 Cl 3.31

Calculated values
- final energy (eV per atom) = -4.105
- symmetry = Fm-3m (225)
- polymorph energy (0 for the lowest one) (meV per atom) = 245



[2]
VASP calculation (PBE) on a relaxed Na2Cd2IO6 crystal.

Lattice parameters (Å, degrees): 5.7455 5.7455 5.9398 99.78 99.78 118.00
With the nearest neighbours (Å) after each atom.
Atoms (fractional coordinates):
Na (0.1692, 0.8308, 0.0000)  6 O 2.45-2.70
Na (0.8308, 0.1692, 0.0000)  6 O 2.45-2.70
Cd (0.3380, 0.6620, 0.5000)  6 O 2.33-2.43
Cd (0.6620, 0.3380, 0.5000)  6 O 2.33-2.43
O (0.2163, 0.2163, 0.2970)  1 I 2.03
O (0.6447, 0.9441, 0.2953)  1 I 2.04
O (0.3553, 0.0559, 0.7047)  1 I 2.04
O (0.0559, 0.3553, 0.7047)  1 I 2.04
O (0.9441, 0.6447, 0.2953)  1 I 2.04
O (0.7837, 0.7837, 0.7030)  1 I 2.03
I (0.0000, 0.0000, 0.5000)  6 O 2.03-2.04

Calculated values
- final energy (eV per atom) = -4.222
- symmetry = C2/m (12)



[3]
VASP calculation (PBE) on a relaxed Nd2DyNpP4 crystal.

Lattice parameters (Å, degrees): 4.0645 7.0389 7.0580 109.30 90.00 90.00
With the nearest neighbours (Å) after each atom.
Atoms (fractional coordinates):
Dy (0.5000, 0.5000, 0.0000)  6 P 2.84
P (0.0000, 0.7503, 0.2363)  1 Np 2.79, 2 Dy 2.84, 3 Nd 2.92-2.96
P (0.0000, 0.2497, 0.7637)  1 Np 2.79, 2 Dy 2.84, 3 Nd 2.92-2.96
P (0.5000, 0.7584, 0.7653)  2 Np 2.81, 1 Dy 2.84, 3 Nd 2.92-2.95
P (0.5000, 0.2416, 0.2347)  2 Np 2.81, 1 Dy 2.84, 3 Nd 2.92-2.95
Np (0.0000, 0.0000, 0.0000)  6 P 2.79-2.81
Nd (0.5000, 0.0000, 0.5000)  6 P 2.92
Nd (0.0000, 0.5000, 0.5000)  6 P 2.95-2.96

Calculated values
- final energy (eV per atom) = -7.468
- symmetry = P2/m (10)
- ΔE_f (eV/atom) = -1.379



[4]
VASP calculation (PBE) on a relaxed LaTc2Ni crystal.

Lattice parameters (Å, degrees): 4.6041 4.6041 4.6041 120.21 120.21 89.64
With the nearest neighbours (Å) after each atom.
Atoms (fractional coordinates):
Tc (0.2500, 0.7500, 0.5000)  4 La 2.82, 4 Tc 2.82
Tc (0.0000, 0.0000, 0.0000)  4 Tc 2.82, 4 Ni 2.82
La (0.5000, 0.5000, 0.0000)  4 Ni 2.82, 4 Tc 2.82
Ni (0.7500, 0.2500, 0.5000)  4 La 2.82, 4 Tc 2.82

Calculated values
- final energy (eV per atom) = -7.509
- symmetry = I-4m2 (119)
- ΔE_f (eV/atom) = 0.351
- polymorph energy (0 for the lowest one) (meV per atom) = 295



Number 1: magnetization 6.000 μB per formula unit. Number 2: magnetization 0.528 μB per formula unit. Number 3: magnetization 3.591 μB per formula unit. Number 4: magnetization 0.000 μB per formula unit.